The following is a PBE calculation of a geometry-optimized LaTcP structure, from Alexandria.

a = 3.2101 Å, b = 3.2101 Å, c = 11.0626 Å
α = 90.00°, β = 90.00°, γ = 90.00°
Space group I4mm (No. 107)
Inequivalent atoms, fractional coordinates:
1 La 0.0000 0.0000 0.0000 [2 per cell]
2 Tc 0.0000 0.0000 0.7086 [2 per cell]
3 P 0.0000 0.0000 0.2959 [2 per cell]

Summary:
The value obtained for the excess energy over the best structure of this formula in the dataset is 136 meV per atom. The calculation puts the energy relative to the elements at -543 meV/atom. The calculation puts the raw total energy at -7.44 eV per atom. For the density of states at the Fermi level, the calculation gives 5.30 states/eV per cell.

=====

The following is a PBE calculation of a geometry-optimized La2TcP structure, from Alexandria.

a = 3.7683 Å, b = 3.7669 Å, c = 6.5675 Å
α = 90.00°, β = 90.54°, γ = 90.00°
Space group P2/m (No. 10)
Inequivalent atoms, fractional coordinates:
1 La 0.0088 0.0000 0.2415 [2 per cell]
2 Tc 0.5000 0.5000 0.5000 [1 per cell]
3 P 0.5000 0.5000 0.0000 [1 per cell]

Summary:
The calculation puts the energy relative to the elements at -362 meV/atom. The calculation puts the raw total energy at -6.77 eV per atom. For the density of states at the Fermi level, the calculation gives 4.70 states/eV per cell.

=====

The following is a PBE calculation of a geometry-optimized LaTcP3 structure, from Alexandria.

a = 4.6802 Å, b = 4.6802 Å, c = 4.6802 Å
α = 90.00°, β = 90.00°, γ = 90.00°
Space group Pm-3m (No. 221)
Inequivalent atoms, fractional coordinates:
1 La 0.0000 0.0000 0.0000 [1 per cell]
2 Tc 0.5000 0.5000 0.5000 [1 per cell]
3 P 0.0000 0.5000 0.5000 [3 per cell]

Summary:
The value obtained for the excess energy over the best structure of this formula in the dataset is 0 meV per atom. The calculation puts the energy relative to the elements at -323 meV/atom. The calculation puts the raw total energy at -6.63 eV per atom. For the density of states at the Fermi level, the calculation gives 6.04 states/eV per cell.

=====

The following is a PBE calculation of a geometry-optimized LaTc2P2 structure, from Alexandria.

a = 4.4950 Å, b = 4.4950 Å, c = 8.9225 Å
α = 90.00°, β = 90.00°, γ = 90.00°
Space group I4/mmm (No. 139)
Inequivalent atoms, fractional coordinates:
1 La 0.0000 0.0000 0.0000 [2 per cell]
2 Tc 0.0000 0.0000 0.3699 [4 per cell]
3 P 0.0000 0.5000 0.2500 [4 per cell]

Summary:
The value obtained for the excess energy over the best structure of this formula in the dataset is 282 meV per atom. The calculation puts the energy relative to the elements at -646 meV/atom. The calculation puts the raw total energy at -7.94 eV per atom. For the density of states at the Fermi level, the calculation gives 8.32 states/eV per cell.

=====

The following is a PBE calculation of a geometry-optimized La2TcP structure, from Alexandria.

a = 3.2434 Å, b = 3.2434 Å, c = 8.9553 Å
α = 90.00°, β = 90.00°, γ = 90.00°
Space group P4mm (No. 99)
Inequivalent atoms, fractional coordinates:
1 La 0.0000 0.0000 0.0000 [1 per cell]
2 La 0.5000 0.5000 0.3978 [1 per cell]
3 Tc 0.5000 0.5000 0.7484 [1 per cell]
4 P 0.0000 0.0000 0.6393 [1 per cell]

Summary:
The calculation puts the energy relative to the elements at -327 meV/atom. The calculation puts the raw total energy at -6.73 eV per atom. For the density of states at the Fermi level, the calculation gives 4.62 states/eV per cell.

=====

The following is a PBE calculation of a geometry-optimized LaTcP structure, from Alexandria.

a = 4.0888 Å, b = 4.0888 Å, c = 4.4250 Å
α = 90.00°, β = 90.00°, γ = 120.00°
Space group P-6m2 (No. 187)
Inequivalent atoms, fractional coordinates:
1 La 0.0000 0.0000 0.0000 [1 per cell]
2 Tc 0.6667 0.3333 0.5000 [1 per cell]
3 P 0.3333 0.6667 0.5000 [1 per cell]

Summary:
The value obtained for the excess energy over the best structure of this formula in the dataset is 0 meV per atom. The calculation puts the energy relative to the elements at -679 meV/atom. The calculation puts the raw total energy at -7.58 eV per atom. For the density of states at the Fermi level, the calculation gives 4.21 states/eV per cell.

=====

The following is a PBE calculation of a geometry-optimized La2TcP structure, from Alexandria.

a = 4.2131 Å, b = 4.2131 Å, c = 22.3131 Å
α = 90.00°, β = 90.00°, γ = 120.00°
Space group R3m (No. 160, hexagonal axes)
Inequivalent atoms, fractional coordinates:
1 La 0.0000 0.0000 0.0000 [3 per cell]
2 La 0.0000 0.0000 0.1653 [3 per cell]
3 Tc 0.0000 0.0000 0.4158 [3 per cell]
4 P 0.0000 0.0000 0.7495 [3 per cell]

Summary:
The calculation puts the energy relative to the elements at -611 meV/atom. The calculation puts the raw total energy at -7.02 eV per atom. For the density of states at the Fermi level, the calculation gives 14.06 states/eV per cell.

=====

The following is a PBE calculation of a geometry-optimized LaTc2P2 structure, from Alexandria.

a = 4.1969 Å, b = 4.1969 Å, c = 10.1392 Å
α = 90.00°, β = 90.00°, γ = 90.00°
Space group I4/mmm (No. 139)
Inequivalent atoms, fractional coordinates:
1 La 0.0000 0.0000 0.0000 [2 per cell]
2 Tc 0.0000 0.5000 0.2500 [4 per cell]
3 P 0.0000 0.0000 0.3569 [4 per cell]

Summary:
The value obtained for the excess energy over the best structure of this formula in the dataset is 0 meV per atom. The calculation puts the energy relative to the elements at -928 meV/atom. The calculation puts the raw total energy at -8.22 eV per atom. For the density of states at the Fermi level, the calculation gives 6.15 states/eV per cell.

=====

The following is a PBE calculation of a geometry-optimized LaTcP3 structure, from Alexandria.

a = 5.1931 Å, b = 5.1931 Å, c = 5.1931 Å
α = 90.00°, β = 90.00°, γ = 90.00°
Space group Pm-3m (No. 221)
Inequivalent atoms, fractional coordinates:
1 La 0.0000 0.0000 0.0000 [1 per cell]
2 Tc 0.5000 0.5000 0.5000 [1 per cell]
3 P 0.0000 0.0000 0.5000 [3 per cell]

Summary:
The value obtained for the excess energy over the best structure of this formula in the dataset is 2153 meV per atom. The calculation puts the energy relative to the elements at 1830 meV/atom. The calculation puts the raw total energy at -4.47 eV per atom. For the density of states at the Fermi level, the calculation gives 9.15 states/eV per cell.

=====

The following is a PBE calculation of a geometry-optimized La2TcP structure, from Alexandria.

a = 7.8341 Å, b = 7.8341 Å, c = 6.1752 Å
α = 90.00°, β = 90.00°, γ = 90.00°
Space group I-42d (No. 122)
Inequivalent atoms, fractional coordinates:
1 La 0.2083 0.2500 0.1250 [8 per cell]
2 Tc 0.0000 0.0000 0.0000 [4 per cell]
3 P 0.0000 0.0000 0.5000 [4 per cell]

Summary:
The calculation puts the energy relative to the elements at -138 meV/atom. The calculation puts the raw total energy at -6.55 eV per atom. For the density of states at the Fermi level, the calculation gives 1.96 states/eV per cell.

=====

The following is a PBE calculation of a geometry-optimized LaTcP structure, from Alexandria.

a = 6.4492 Å, b = 6.4492 Å, c = 6.4492 Å
α = 90.00°, β = 90.00°, γ = 90.00°
Space group F-43m (No. 216)
Inequivalent atoms, fractional coordinates:
1 La 0.0000 0.0000 0.0000 [4 per cell]
2 Tc 0.0000 0.0000 0.5000 [4 per cell]
3 P 0.2500 0.2500 0.7500 [4 per cell]

Summary:
The value obtained for the excess energy over the best structure of this formula in the dataset is 578 meV per atom. The calculation puts the energy relative to the elements at -101 meV/atom. The calculation puts the raw total energy at -7.00 eV per atom. For the density of states at the Fermi level, the calculation gives 15.42 states/eV per cell.

=====

The following is a PBE calculation of a geometry-optimized La2TcP structure, from Alexandria.

a = 4.9028 Å, b = 4.9028 Å, c = 3.8381 Å
α = 90.00°, β = 90.00°, γ = 90.00°
Space group P4/mmm (No. 123)
Inequivalent atoms, fractional coordinates:
1 La 0.0000 0.5000 0.0000 [2 per cell]
2 Tc 0.0000 0.0000 0.5000 [1 per cell]
3 P 0.5000 0.5000 0.5000 [1 per cell]

Summary:
The calculation puts the energy relative to the elements at -361 meV/atom. The calculation puts the raw total energy at -6.77 eV per atom. For the density of states at the Fermi level, the calculation gives 2.89 states/eV per cell.

=====

- Number 9 is which compound?
  LaTcP3